Entry 1:
AlZn2Ru: relaxed, PBEsol.

a b c (Å): 3.590 3.590 4.865
angles (deg): 111.65 111.65 90.00
Atoms (fractional coordinates):
Zn (0.250, 0.750, 0.500)
Zn (0.750, 0.250, 0.500)
Al (0.500, 0.500, 0.000)
Ru (0.000, 0.000, 0.000)

Values from the calculation:
The value obtained for the density of states at the Fermi level is 1.9 states/eV per cell. The calculation puts the energy of formation from the pure elements at -1.1 eV/f.u. The total energy is -4.641 eV/atom. The value obtained for the density is 8.04 g cm⁻³.



Entry 2:
AlZn2Ru: relaxed, PBEsol.

a b c (Å): 3.186 3.938 4.955
angles (deg): 113.41 108.75 90.00
Atoms (fractional coordinates):
Ru (0.000, 0.500, 0.000)
Zn (0.252, 0.252, 0.505)
Zn (0.748, 0.748, 0.495)
Al (0.500, 0.000, 0.000)

Values from the calculation:
The value obtained for the density of states at the Fermi level is 0.6 states/eV per cell. The calculation puts the energy of formation from the pure elements at -1.2 eV/f.u. The total energy is -4.668 eV/atom. The value obtained for the density is 8.04 g cm⁻³.



Entry 3:
ZrAlRu2: relaxed, PBEsol.

a b c (Å): 3.135 3.135 6.130
angles (deg): 90.00 90.00 90.00
Atoms (fractional coordinates):
Al (0.500, 0.500, 0.500)
Ru (0.000, 0.000, 0.265)
Zr (0.500, 0.500, 0.000)
Ru (0.000, 0.000, 0.735)

Values from the calculation:
The value obtained for the density of states at the Fermi level is 2.7 states/eV per cell. The calculation puts the energy of formation from the pure elements at -2.5 eV/f.u. The total energy is -9.006 eV/atom. The value obtained for the density is 8.83 g cm⁻³.



Entry 4:
ZrAl2Ru: relaxed, PBEsol.

a b c (Å): 3.134 3.134 6.523
angles (deg): 90.00 90.00 90.00
Atoms (fractional coordinates):
Al (0.000, 0.000, 0.027)
Zr (0.500, 0.500, 0.732)
Ru (0.000, 0.000, 0.466)
Al (0.500, 0.500, 0.275)

Values from the calculation:
The value obtained for the density of states at the Fermi level is 0.8 states/eV per cell. The calculation puts the energy of formation from the pure elements at -2.1 eV/f.u. The total energy is -7.378 eV/atom. The value obtained for the density is 6.38 g cm⁻³.



Entry 5:
ZrAl2Ru: relaxed, PBEsol.

a b c (Å): 3.105 4.656 4.994
angles (deg): 107.12 108.11 90.00
Atoms (fractional coordinates):
Al (0.270, 0.278, 0.540)
Ru (0.000, 0.500, 0.000)
Al (0.730, 0.722, 0.460)
Zr (0.500, 0.000, 0.000)

Values from the calculation:
The value obtained for the density of states at the Fermi level is 2.6 states/eV per cell. The calculation puts the energy of formation from the pure elements at -1.4 eV/f.u. The total energy is -7.223 eV/atom. The value obtained for the density is 6.27 g cm⁻³.



Entry 6:
ZrAlRu2: relaxed, PBEsol.

a b c (Å): 3.700 3.700 5.169
angles (deg): 110.97 110.97 90.00
Atoms (fractional coordinates):
Ru (0.000, 0.000, 0.000)
Zr (0.500, 0.500, 0.000)
Al (0.250, 0.750, 0.500)
Ru (0.750, 0.250, 0.500)

Values from the calculation:
The value obtained for the density of states at the Fermi level is 4.3 states/eV per cell. The calculation puts the energy of formation from the pure elements at -1.7 eV/f.u. The total energy is -8.806 eV/atom. The value obtained for the density is 8.72 g cm⁻³.



Entry 7:
Zr2AlRu: relaxed, PBEsol.

a b c (Å): 3.117 3.117 8.945
angles (deg): 79.97 79.97 60.00
Atoms (fractional coordinates):
Al (0.511, 0.511, 0.468)
Ru (0.247, 0.247, 0.259)
Zr (0.990, 0.990, 0.030)
Zr (0.752, 0.752, 0.743)

Values from the calculation:
The value obtained for the density of states at the Fermi level is 3.9 states/eV per cell. The calculation puts the energy of formation from the pure elements at -0.4 eV/f.u. The total energy is -8.212 eV/atom. The value obtained for the density is 7.00 g cm⁻³.



Entry 8:
ZrAlRu: relaxed, PBEsol.

a b c (Å): 3.106 3.106 5.551
angles (deg): 106.25 106.25 90.00
Atoms (fractional coordinates):
Al (0.025, 0.025, 0.050)
Ru (0.654, 0.654, 0.308)
Zr (0.321, 0.321, 0.642)

Values from the calculation:
The value obtained for the density of states at the Fermi level is 2.4 states/eV per cell. The calculation puts the energy of formation from the pure elements at -1.6 eV/f.u. The total energy is -8.312 eV/atom. The value obtained for the density is 7.41 g cm⁻³.



Entry 9:
Zr2AlRu: relaxed, PBEsol.

a b c (Å): 3.302 4.288 5.430
angles (deg): 90.00 107.70 90.00
Atoms (fractional coordinates):
Al (0.826, 0.000, 0.652)
Ru (0.668, 0.500, 0.336)
Zr (0.105, 0.000, 0.210)
Zr (0.413, 0.500, 0.826)

Values from the calculation:
The value obtained for the density of states at the Fermi level is 3.4 states/eV per cell. The calculation puts the energy of formation from the pure elements at -1.7 eV/f.u. The total energy is -8.530 eV/atom. The value obtained for the density is 7.04 g cm⁻³.



Entry 10:
ZrAl2Ru: relaxed, PBEsol.

a b c (Å): 3.037 3.037 6.902
angles (deg): 90.00 90.00 90.00
Atoms (fractional coordinates):
Al (0.000, 0.000, 0.801)
Ru (0.500, 0.500, 0.000)
Al (0.000, 0.000, 0.199)
Zr (0.500, 0.500, 0.500)

Values from the calculation:
The value obtained for the density of states at the Fermi level is 3.2 states/eV per cell. The calculation puts the energy of formation from the pure elements at -2.2 eV/f.u. The total energy is -7.422 eV/atom. The value obtained for the density is 6.42 g cm⁻³.



Entry 11:
Al5S8: relaxed, PBEsol.

a b c (Å): 6.943 6.943 6.943
angles (deg): 60.00 60.00 60.00
Atoms (fractional coordinates):
S (0.616, 0.152, 0.616)
Al (0.366, 0.366, 0.366)
S (0.127, 0.127, 0.127)
Al (0.366, 0.901, 0.366)
Al (0.750, 0.750, 0.750)
S (0.127, 0.127, 0.619)
S (0.619, 0.127, 0.127)
Al (0.901, 0.366, 0.366)
S (0.152, 0.616, 0.616)
S (0.616, 0.616, 0.152)
S (0.127, 0.619, 0.127)
S (0.616, 0.616, 0.616)
Al (0.366, 0.366, 0.901)

Values from the calculation:
The value obtained for the density of states at the Fermi level is 7.7 states/eV per cell. The total energy is -5.266 eV/atom. The energy relative to the elements, uncorrected is -995 meV per atom. The value obtained for the density is 2.75 g cm⁻³.



Entry 12:
AlSb2S: relaxed, PBEsol.

a b c (Å): 4.917 4.917 4.917
angles (deg): 60.00 60.00 60.00
Atoms (fractional coordinates):
Sb (0.250, 0.250, 0.250)
Al (0.000, 0.000, 0.000)
Sb (0.750, 0.750, 0.750)
S (0.500, 0.500, 0.500)

Values from the calculation:
The value obtained for the density of states at the Fermi level is 2.9 states/eV per cell. The total energy is -4.204 eV/atom. The energy relative to the elements, uncorrected is 193 meV per atom. The value obtained for the density is 5.98 g cm⁻³.



Entry 13:
AlSb3S: relaxed, PBEsol.

a b c (Å): 5.130 5.130 5.130
angles (deg): 90.00 90.00 90.00
Atoms (fractional coordinates):
Al (0.500, 0.500, 0.500)
S (0.000, 0.000, 0.000)
Sb (0.000, 0.000, 0.500)
Sb (0.500, 0.000, 0.000)
Sb (0.000, 0.500, 0.000)

Values from the calculation:
The value obtained for the density of states at the Fermi level is 4.0 states/eV per cell. The total energy is -3.850 eV/atom. The energy relative to the elements, uncorrected is 580 meV per atom. The value obtained for the density is 5.22 g cm⁻³.



Entry 14:
AlSbS2: relaxed, PBEsol.

a b c (Å): 3.455 3.455 8.256
angles (deg): 77.92 77.92 60.00
Atoms (fractional coordinates):
S (0.888, 0.888, 0.336)
Al (0.500, 0.500, 0.500)
Sb (0.000, 0.000, 0.000)
S (0.112, 0.112, 0.664)

Values from the calculation:
The value obtained for the density of states at the Fermi level is 0.8 states/eV per cell. The total energy is -5.084 eV/atom. The energy relative to the elements, uncorrected is -730 meV per atom. The value obtained for the density is 4.27 g cm⁻³.



Entry 15:
AlSeS2: relaxed, PBEsol.

a b c (Å): 3.462 3.462 7.750
angles (deg): 77.09 77.09 60.00
Atoms (fractional coordinates):
S (0.108, 0.108, 0.675)
S (0.892, 0.892, 0.325)
Se (0.000, 0.000, 0.000)
Al (0.500, 0.500, 0.500)

Values from the calculation:
The value obtained for the density of states at the Fermi level is 1.2 states/eV per cell. The total energy is -4.736 eV/atom. The energy relative to the elements, uncorrected is -558 meV per atom. The value obtained for the polymorph energy (0 for the lowest one) is 0 meV per atom. The value obtained for the density is 3.63 g cm⁻³.



Entry 16:
AlSeS2: relaxed, PBEsol.

a b c (Å): 4.497 4.497 4.497
angles (deg): 60.00 60.00 60.00
Atoms (fractional coordinates):
Se (0.500, 0.500, 0.500)
S (0.750, 0.750, 0.750)
Al (0.000, 0.000, 0.000)
S (0.250, 0.250, 0.250)

Values from the calculation:
The value obtained for the density of states at the Fermi level is 2.2 states/eV per cell. The total energy is -3.957 eV/atom. The energy relative to the elements, uncorrected is 221 meV per atom. The value obtained for the polymorph energy (0 for the lowest one) is 779 meV per atom. The value obtained for the density is 4.39 g cm⁻³.



Entry 17:
Sm9Al5S21: relaxed, PBEsol.

a b c (Å): 11.418 11.418 11.418
angles (deg): 94.64 94.64 94.64
Atoms (fractional coordinates):
Sm (0.551, 0.776, 0.932)
S (0.452, 0.009, 0.542)
S (0.941, 0.038, 0.792)
S (0.632, 0.719, 0.163)
S (0.009, 0.542, 0.452)
S (0.693, 0.207, 0.110)
S (0.375, 0.149, 0.282)
S (0.842, 0.511, 0.173)
S (0.300, 0.384, 0.814)
Sm (0.072, 0.454, 0.227)
Sm (0.116, 0.884, 0.740)
Al (0.389, 0.048, 0.721)
S (0.207, 0.110, 0.693)
S (0.480, 0.966, 0.066)
Sm (0.877, 0.099, 0.247)
S (0.759, 0.664, 0.891)
Sm (0.099, 0.247, 0.877)
S (0.407, 0.307, 0.552)
S (0.038, 0.792, 0.941)
S (0.307, 0.552, 0.407)
Sm (0.932, 0.551, 0.776)
Sm (0.766, 0.555, 0.397)
Al (0.721, 0.389, 0.048)
Sm (0.454, 0.227, 0.072)
Al (0.675, 0.675, 0.675)
S (0.008, 0.342, 0.675)
Sm (0.227, 0.072, 0.454)
Al (0.857, 0.857, 0.857)
Al (0.226, 0.549, 0.883)
S (0.891, 0.759, 0.664)
S (0.282, 0.375, 0.149)
Sm (0.776, 0.932, 0.551)
Sm (0.397, 0.766, 0.555)
S (0.966, 0.066, 0.480)
S (0.236, 0.096, 0.996)
Sm (0.740, 0.116, 0.884)
S (0.870, 0.787, 0.356)
S (0.384, 0.814, 0.300)
S (0.675, 0.008, 0.342)
S (0.173, 0.842, 0.511)
Sm (0.555, 0.397, 0.766)
S (0.996, 0.236, 0.096)
S (0.792, 0.941, 0.038)
Sm (0.433, 0.585, 0.209)
S (0.096, 0.996, 0.236)
S (0.066, 0.480, 0.966)
Al (0.173, 0.173, 0.173)
S (0.814, 0.300, 0.384)
S (0.110, 0.693, 0.207)
S (0.149, 0.282, 0.375)
S (0.787, 0.356, 0.870)
S (0.719, 0.163, 0.632)
Sm (0.585, 0.209, 0.433)
Sm (0.247, 0.877, 0.099)
Sm (0.884, 0.740, 0.116)
S (0.487, 0.621, 0.726)
S (0.356, 0.870, 0.787)
Sm (0.209, 0.433, 0.585)
Al (0.355, 0.355, 0.355)
S (0.342, 0.675, 0.008)
Al (0.883, 0.226, 0.549)
S (0.664, 0.891, 0.759)
S (0.163, 0.632, 0.719)
Al (0.048, 0.721, 0.389)
S (0.552, 0.407, 0.307)
S (0.726, 0.487, 0.621)
S (0.621, 0.726, 0.487)
Al (0.549, 0.883, 0.226)
S (0.542, 0.452, 0.009)
S (0.511, 0.173, 0.842)

Values from the calculation:
The value obtained for the density of states at the Fermi level is 0.0 states/eV per cell. The total energy is -6.302 eV/atom. The energy relative to the elements, uncorrected is -1777 meV per atom. The value obtained for the density is 4.87 g cm⁻³.



Entry 18:
AlSnS2: relaxed, PBEsol.

a b c (Å): 3.444 3.444 8.303
angles (deg): 78.03 78.03 60.00
Atoms (fractional coordinates):
Al (0.500, 0.500, 0.500)
Sn (0.000, 0.000, 0.000)
S (0.112, 0.112, 0.663)
S (0.888, 0.888, 0.337)

Values from the calculation:
The value obtained for the density of states at the Fermi level is 0.8 states/eV per cell. The total energy is -5.052 eV/atom. The energy relative to the elements, uncorrected is -772 meV per atom. The value obtained for the density is 4.21 g cm⁻³.



Entry 19:
Al3SnS: relaxed, PBEsol.

a b c (Å): 5.163 5.163 5.163
angles (deg): 90.00 90.00 90.00
Atoms (fractional coordinates):
Al (0.500, 0.000, 0.000)
Al (0.000, 0.000, 0.500)
Sn (0.000, 0.000, 0.000)
Al (0.000, 0.500, 0.000)
S (0.500, 0.500, 0.500)

Values from the calculation:
The value obtained for the density of states at the Fermi level is 3.0 states/eV per cell. The total energy is -3.321 eV/atom. The energy relative to the elements, uncorrected is 863 meV per atom. The value obtained for the density is 2.80 g cm⁻³.



Entry 20:
AlSn2TeS: relaxed, PBEsol.

a b c (Å): 5.157 5.795 5.795
angles (deg): 90.00 90.00 90.00
Atoms (fractional coordinates):
Sn (0.000, 0.000, 0.500)
Sn (0.000, 0.500, 0.000)
Te (0.000, 0.000, 0.000)
S (0.500, 0.500, 0.500)
Al (0.500, 0.000, 0.000)

Values from the calculation:
The value obtained for the density of states at the Fermi level is 2.3 states/eV per cell. The total energy is -3.211 eV/atom. The energy relative to the elements, uncorrected is 893 meV per atom. The value obtained for the density is 4.07 g cm⁻³.



Entry 21:
SrAl2S4: relaxed, PBEsol.

a b c (Å): 5.915 5.967 10.419
angles (deg): 90.00 90.00 119.71
Atoms (fractional coordinates):
S (0.352, 0.171, 0.000)
S (0.500, 0.500, 0.335)
S (0.000, 0.500, 0.835)
Al (0.763, 0.523, 0.000)
Al (0.237, 0.477, 0.000)
S (0.500, 0.500, 0.665)
S (0.648, 0.829, 0.000)
Al (0.240, 0.477, 0.500)
S (0.000, 0.500, 0.165)
S (0.818, 0.171, 0.500)
Sr (0.500, 0.000, 0.750)
S (0.182, 0.829, 0.500)
Al (0.760, 0.523, 0.500)
Sr (0.500, 0.000, 0.250)

Values from the calculation:
The value obtained for the density of states at the Fermi level is 0.0 states/eV per cell. The total energy is -5.408 eV/atom. The energy relative to the elements, uncorrected is -1470 meV per atom. The value obtained for the density is 2.81 g cm⁻³.



Entry 22:
SrAl2S4: relaxed, PBEsol.

a b c (Å): 11.827 11.827 11.997
angles (deg): 104.94 104.94 118.50
Atoms (fractional coordinates):
S (0.709, 0.459, 0.916)
S (0.707, 0.957, 0.416)
Sr (0.750, 0.250, 0.500)
Al (0.235, 0.010, 0.751)
S (0.542, 0.791, 0.585)
S (0.284, 0.188, 0.252)
S (0.313, 0.718, 0.752)
S (0.812, 0.716, 0.748)
S (0.709, 0.459, 0.416)
Sr (0.998, 0.498, 0.997)
S (0.787, 0.227, 0.252)
Al (0.015, 0.740, 0.749)
S (0.785, 0.725, 0.248)
Al (0.594, 0.238, 0.750)
S (0.968, 0.063, 0.252)
Sr (0.500, 0.500, 0.000)
Al (0.516, 0.741, 0.751)
S (0.043, 0.293, 0.584)
S (0.207, 0.457, 0.916)
Sr (0.502, 0.002, 0.003)
Al (0.259, 0.484, 0.249)
Al (0.762, 0.906, 0.250)
Sr (0.748, 0.748, 0.497)
S (0.206, 0.957, 0.415)
S (0.465, 0.025, 0.252)
Sr (0.250, 0.750, 0.500)
Al (0.656, 0.512, 0.750)
Al (0.488, 0.844, 0.250)
S (0.966, 0.562, 0.248)
Al (0.762, 0.406, 0.250)
Al (0.734, 0.009, 0.749)
S (0.773, 0.213, 0.748)
S (0.477, 0.537, 0.752)
Sr (0.000, 0.000, 0.000)
Al (0.260, 0.985, 0.251)
Al (0.990, 0.765, 0.249)
S (0.209, 0.458, 0.415)
S (0.708, 0.959, 0.915)
Sr (0.252, 0.252, 0.503)
S (0.463, 0.523, 0.248)
Al (0.991, 0.266, 0.251)
S (0.438, 0.034, 0.752)
S (0.541, 0.291, 0.584)
S (0.282, 0.687, 0.248)
Al (0.488, 0.344, 0.250)
S (0.541, 0.291, 0.084)
S (0.975, 0.535, 0.748)
S (0.044, 0.793, 0.085)
S (0.275, 0.215, 0.752)
S (0.543, 0.793, 0.084)
S (0.207, 0.956, 0.915)
S (0.041, 0.292, 0.085)
S (0.043, 0.794, 0.585)
S (0.937, 0.032, 0.748)
Al (0.156, 0.512, 0.750)
Al (0.094, 0.238, 0.750)

Values from the calculation:
The value obtained for the density of states at the Fermi level is 0.0 states/eV per cell. The total energy is -5.413 eV/atom. The energy relative to the elements, uncorrected is -1476 meV per atom. The value obtained for the density is 2.81 g cm⁻³.